# 1
DFT (PBE) results for crystalline Co2OsRu at its relaxed geometry.

V	13.083	Å³/atom
space-group type	Immm (71)
energy above the lowest structure with this stoichiometry	286	meV/atom
formation energy	417	meV per atom

Lattice parameters (Å, degrees): 5.043 5.043 5.043 148.52 127.91 62.15
Positions (direct):
Co: 0.247 0.247 0.000
Co: 0.753 0.753 0.000
Os: 0.000 0.500 0.500
Ru: 0.500 0.000 0.500

=====

# 2
DFT (PBE) results for crystalline CoOsRu2 at its relaxed geometry.

V	13.278	Å³/atom
space-group type	P2/m (10)
energy above the lowest structure with this stoichiometry	34	meV/atom
formation energy	173	meV per atom

Lattice parameters (Å, degrees): 4.601 2.657 4.616 90.00 109.73 90.00
Positions (direct):
Co: 0.000 0.000 0.000
Os: 0.500 0.500 0.000
Ru: 0.000 0.500 0.500
Ru: 0.500 0.000 0.500

=====

# 3
DFT (PBE) results for crystalline CoOsRu2 at its relaxed geometry.

V	13.316	Å³/atom
space-group type	Cmmm (65)
energy above the lowest structure with this stoichiometry	28	meV/atom
formation energy	167	meV per atom

Lattice parameters (Å, degrees): 4.595 4.595 2.675 90.00 90.00 109.41
Positions (direct):
Co: 0.000 0.000 0.000
Os: 0.500 0.500 0.000
Ru: 0.000 0.500 0.500
Ru: 0.500 0.000 0.500

=====

# 4
DFT (PBE) results for crystalline CoOsRu2 at its relaxed geometry.

V	13.860	Å³/atom
space-group type	Cmm2 (35)
energy above the lowest structure with this stoichiometry	358	meV/atom
formation energy	498	meV per atom

Lattice parameters (Å, degrees): 2.649 2.649 8.918 90.00 90.00 117.61
Positions (direct):
Co: 0.000 0.000 0.000
Os: 0.500 0.500 0.243
Ru: 0.000 0.000 0.502
Ru: 0.500 0.500 0.759

=====

# 5
DFT (PBE) results for crystalline CoOsRu2 at its relaxed geometry.

V	13.237	Å³/atom
space-group type	Pmm2 (25)
energy above the lowest structure with this stoichiometry	0	meV/atom
formation energy	139	meV per atom

Lattice parameters (Å, degrees): 2.667 3.760 5.280 90.00 90.00 90.00
Positions (direct):
Co: 0.000 0.000 0.000
Os: 0.500 0.500 0.238
Ru: 0.000 0.000 0.497
Ru: 0.500 0.500 0.756

=====

# 6
DFT (PBE) results for crystalline CoOsRu2 at its relaxed geometry.

V	13.260	Å³/atom
space-group type	Pmmm (47)
energy above the lowest structure with this stoichiometry	7	meV/atom
formation energy	146	meV per atom

Lattice parameters (Å, degrees): 2.677 3.748 5.286 90.00 90.00 90.00
Positions (direct):
Co: 0.000 0.000 0.000
Os: 0.000 0.000 0.500
Ru: 0.500 0.500 0.242
Ru: 0.500 0.500 0.758

=====

# 7
DFT (PBE) results for crystalline Co4OsRu at its relaxed geometry.

V	11.535	Å³/atom
space-group type	F-43m (216)
formation energy	228	meV per atom

Lattice parameters (Å, degrees): 4.608 4.608 4.608 60.00 60.00 60.00
Positions (direct):
Co: 0.125 0.125 0.125
Co: 0.125 0.125 0.625
Co: 0.125 0.625 0.125
Co: 0.625 0.125 0.125
Os: 0.500 0.500 0.500
Ru: 0.750 0.750 0.750

=====

# 8
DFT (PBE) results for crystalline Co2OsRu at its relaxed geometry.

V	12.381	Å³/atom
space-group type	I4/mmm (139)
energy above the lowest structure with this stoichiometry	46	meV/atom
formation energy	176	meV per atom

Lattice parameters (Å, degrees): 4.472 4.472 4.472 131.22 131.22 71.47
Positions (direct):
Co: 0.250 0.750 0.500
Co: 0.750 0.250 0.500
Os: 0.000 0.000 0.000
Ru: 0.500 0.500 0.000

=====

# 9
DFT (PBE) results for crystalline Co2OsRu at its relaxed geometry.

V	13.161	Å³/atom
space-group type	Cmm2 (35)
energy above the lowest structure with this stoichiometry	296	meV/atom
formation energy	427	meV per atom

Lattice parameters (Å, degrees): 2.616 2.616 8.645 90.00 90.00 117.14
Positions (direct):
Co: 0.000 0.000 0.000
Co: 0.500 0.500 0.229
Os: 0.500 0.500 0.748
Ru: 0.000 0.000 0.480

=====

# 10
DFT (PBE) results for crystalline CoOsRu2 at its relaxed geometry.

V	13.236	Å³/atom
space-group type	I4/mmm (139)
energy above the lowest structure with this stoichiometry	11	meV/atom
formation energy	150	meV per atom

Lattice parameters (Å, degrees): 4.590 4.590 4.590 131.60 131.60 70.86
Positions (direct):
Co: 0.000 0.000 0.000
Os: 0.500 0.500 0.000
Ru: 0.250 0.750 0.500
Ru: 0.750 0.250 0.500

=====

# 11
DFT (PBE) results for crystalline CoOsRu2 at its relaxed geometry.

V	13.268	Å³/atom
space-group type	C2/m (12)
energy above the lowest structure with this stoichiometry	12	meV/atom
formation energy	151	meV per atom

Lattice parameters (Å, degrees): 4.595 4.595 4.592 99.34 99.34 33.74
Positions (direct):
Co: 0.000 0.000 0.000
Os: 0.500 0.500 0.500
Ru: 0.250 0.250 0.756
Ru: 0.750 0.750 0.244

=====

# 12
DFT (PBE) results for crystalline CoOsRu2 at its relaxed geometry.

V	13.306	Å³/atom
space-group type	P4/mmm (123)
energy above the lowest structure with this stoichiometry	26	meV/atom
formation energy	165	meV per atom

Lattice parameters (Å, degrees): 2.689 2.689 7.360 90.00 90.00 90.00
Positions (direct):
Co: 0.000 0.000 0.000
Os: 0.000 0.000 0.500
Ru: 0.500 0.500 0.239
Ru: 0.500 0.500 0.761

=====

> The lowest formation energy belongs to which entry?

number 5

=====

> Look up the V of the second one.

13.278 Å³/atom